# 1
# TbHo2PaS4

TbHo2PaS4 after structural relaxation (PBE, the Alexandria database).

Values from the calculation:
magnetic moment	0.00	μB per formula unit
formation energy without anion corrections	-14.988	eV per formula unit
space group	P2/m
volume	20.882	Å³ per atom

Unit cell a=3.8643 b=6.7498 c=6.7739 alpha=109.00 beta=90.00 gamma=90.00
Fractional coordinates of all 8 atoms:
Tb 0.0000 0.0000 0.0000
Ho 0.5000 0.0000 0.5000
Ho 0.0000 0.5000 0.5000
Pa 0.5000 0.5000 0.0000
S 0.5000 0.2515 0.2538
S 0.5000 0.7485 0.7462
S 0.0000 0.2477 0.7451
S 0.0000 0.7523 0.2549

# 2
# BaYGe2

BaYGe2 after structural relaxation (PBE, the Alexandria database).

Values from the calculation:
magnetic moment	0.00	μB per formula unit
energy of formation	-17	kJ/mol of atoms
space group	I-42d
volume	36.546	Å³ per atom
distance to the lowest polymorph of the same formula	1.04	eV/f.u.

Unit cell a=5.5805 b=5.5805 c=10.1839 alpha=74.10 beta=74.10 gamma=90.00
Fractional coordinates of all 8 atoms:
Y 0.5000 0.5000 0.0000
Y 0.2500 0.7500 0.5000
Ge 0.4890 0.1250 0.2500
Ge 0.2610 0.6250 0.2500
Ge 0.3750 0.5110 0.7500
Ge 0.8750 0.7390 0.7500
Ba 0.0000 0.0000 0.0000
Ba 0.7500 0.2500 0.5000

# 3
# SrRe2PdC

SrRe2PdC after structural relaxation (PBE, the Alexandria database).

Values from the calculation:
magnetic moment	0.00	μB per formula unit
energy of formation	52	kJ/mol of atoms
space group	P4/mmm
volume	16.633	Å³ per atom

Unit cell a=4.1417 b=4.8484 c=4.1417 alpha=90.00 beta=90.00 gamma=90.00
Fractional coordinates of all 5 atoms:
Re 0.0000 0.0000 0.5000
Re 0.5000 0.0000 0.0000
C 0.0000 0.0000 0.0000
Pd 0.0000 0.5000 0.0000
Sr 0.5000 0.5000 0.5000

# 4
# Ta2HOsW

Ta2HOsW after structural relaxation (PBE, the Alexandria database).

Values from the calculation:
magnetic moment	0.00	μB per formula unit
space group	P4/mmm
volume	13.885	Å³ per atom
distance to the lowest polymorph of the same formula	0.00	eV/f.u.

Unit cell a=4.4405 b=4.4405 c=3.5209 alpha=90.00 beta=90.00 gamma=90.00
Fractional coordinates of all 5 atoms:
H 0.0000 0.0000 0.0000
Os 0.0000 0.0000 0.5000
W 0.5000 0.5000 0.5000
Ta 0.0000 0.5000 0.0000
Ta 0.5000 0.0000 0.0000

# 5
# K3ZrTe

K3ZrTe after structural relaxation (PBE, the Alexandria database).

Values from the calculation:
magnetic moment	4.57	μB per formula unit
formation energy without anion corrections	4.353	eV per formula unit
space group	Pm-3m
volume	50.183	Å³ per atom
distance to the lowest polymorph of the same formula	2.18	eV/f.u.

Unit cell a=6.3073 b=6.3073 c=6.3073 alpha=90.00 beta=90.00 gamma=90.00
Site moments in Bohr magnetons follow the coordinates.
Fractional coordinates of all 5 atoms:
K 0.0000 0.5000 0.0000  0.07
K 0.0000 0.0000 0.5000  0.09
K 0.5000 0.0000 0.0000  0.04
Te 0.5000 0.5000 0.5000  0.06
Zr 0.0000 0.0000 0.0000  2.16

# 6
# ZrSc2Mo

ZrSc2Mo after structural relaxation (PBE, the Alexandria database).

Values from the calculation:
magnetic moment	0.00	μB per formula unit
energy of formation	5	kJ/mol of atoms
space group	P4mm
volume	21.551	Å³ per atom
distance to the lowest polymorph of the same formula	0.00	eV/f.u.

Unit cell a=3.4431 b=3.4431 c=7.2715 alpha=90.00 beta=90.00 gamma=90.00
Fractional coordinates of all 4 atoms:
Mo 0.5000 0.5000 0.7347
Sc 0.0000 0.0000 0.9573
Sc 0.5000 0.5000 0.2675
Zr 0.0000 0.0000 0.5404

# 7
# Tb4AgSe2S

Tb4AgSe2S after structural relaxation (PBE, the Alexandria database).

Values from the calculation:
magnetic moment	0.00	μB per formula unit
formation energy without anion corrections	-11.349	eV per formula unit
space group	P2/m
volume	24.208	Å³ per atom

Unit cell a=4.0094 b=7.1150 c=7.1667 alpha=71.31 beta=90.00 gamma=90.00
Fractional coordinates of all 8 atoms:
Tb 0.0000 0.7484 0.7426
Tb 0.0000 0.2516 0.2574
Tb 0.5000 0.7408 0.2635
Tb 0.5000 0.2592 0.7365
Ag 0.5000 0.5000 0.0000
Se 0.0000 0.0000 0.0000
Se 0.5000 0.0000 0.5000
S 0.0000 0.5000 0.5000

# 8
# CsSm2AgS4

CsSm2AgS4 after structural relaxation (PBE, the Alexandria database).

Values from the calculation:
magnetic moment	0.00	μB per formula unit
formation energy without anion corrections	-12.580	eV per formula unit
space group	Cmcm
volume	27.004	Å³ per atom

Unit cell a=4.1796 b=7.4392 c=14.4789 alpha=90.00 beta=90.00 gamma=106.31
Fractional coordinates of all 16 atoms:
Cs 0.1123 0.2247 0.7500
Cs 0.8877 0.7753 0.2500
Sm 0.3679 0.7358 0.5633
Sm 0.6321 0.2642 0.0633
Sm 0.6321 0.2642 0.4367
Sm 0.3679 0.7358 0.9367
Ag 0.8335 0.6669 0.7500
Ag 0.1665 0.3331 0.2500
S 0.2570 0.5140 0.0990
S 0.7430 0.4860 0.5990
S 0.7430 0.4860 0.9010
S 0.2570 0.5140 0.4009
S 0.0000 0.0000 0.5000
S 0.0000 0.0000 0.0000
S 0.4308 0.8616 0.7500
S 0.5692 0.1384 0.2500

# 9
# LaPmSiGe

LaPmSiGe after structural relaxation (PBE, the Alexandria database).

Values from the calculation:
magnetic moment	0.00	μB per formula unit
formation energy without anion corrections	-3.153	eV per formula unit
space group	Amm2
volume	25.342	Å³ per atom
distance to the lowest polymorph of the same formula	0.00	eV/f.u.

Unit cell a=4.5284 b=4.0229 c=6.0075 alpha=90.00 beta=112.14 gamma=90.00
Fractional coordinates of all 4 atoms:
La 0.1413 0.0000 0.2825
Pm 0.8632 0.5000 0.7265
Si 0.4225 0.0000 0.8449
Ge 0.5730 0.5000 0.1460

# 10
# Cs2ScTiSn

Cs2ScTiSn after structural relaxation (PBE, the Alexandria database).

Values from the calculation:
magnetic moment	0.88	μB per formula unit
energy of formation	117	kJ/mol of atoms
space group	P4/mmm
volume	44.811	Å³ per atom

Unit cell a=6.7660 b=4.8942 c=6.7660 alpha=90.00 beta=90.00 gamma=90.00
Site moments in Bohr magnetons follow the coordinates.
Fractional coordinates of all 5 atoms:
Cs 0.0000 0.0000 0.5000  0.01
Cs 0.5000 0.0000 0.0000  0.01
Sc 0.0000 0.0000 0.0000  0.11
Sn 0.5000 0.5000 0.5000  -0.04
Ti 0.0000 0.5000 0.0000  0.53

# 11
# SmAg2Pd6

SmAg2Pd6 after structural relaxation (PBE, the Alexandria database).

Values from the calculation:
magnetic moment	0.00	μB per formula unit
energy of formation	-12	kJ/mol of atoms
space group	P6/mmm
volume	20.785	Å³ per atom

Unit cell a=5.4288 b=5.4288 c=7.3292 alpha=90.00 beta=90.00 gamma=120.00
Fractional coordinates of all 9 atoms:
Sm 0.0000 0.0000 0.0000
Ag 0.3333 0.6667 0.5000
Ag 0.6667 0.3333 0.5000
Pd 0.4996 0.0000 0.1858
Pd 0.5004 0.5004 0.1858
Pd 0.0000 0.4996 0.1858
Pd 0.4996 0.4996 0.8142
Pd 0.0000 0.5004 0.8142
Pd 0.5004 0.0000 0.8142

# 12
# Tb6YIn5

Tb6YIn5 after structural relaxation (PBE, the Alexandria database).

Values from the calculation:
magnetic moment	0.00	μB per formula unit
energy of formation	-38	kJ/mol of atoms
space group	Immm
volume	27.693	Å³ per atom

Unit cell a=4.9832 b=8.8541 c=9.0849 alpha=119.16 beta=105.92 gamma=90.00
Fractional coordinates of all 12 atoms:
Y 0.0000 0.0000 0.0000
Tb 0.8296 0.5666 0.6592
Tb 0.8296 0.0927 0.6592
Tb 0.5000 0.7284 0.0000
Tb 0.5000 0.2716 0.0000
Tb 0.1704 0.9073 0.3408
Tb 0.1704 0.4334 0.3408
In 0.6516 0.1516 0.3032
In 0.3242 0.3242 0.6484
In 0.0000 0.5000 0.0000
In 0.6758 0.6758 0.3516
In 0.3484 0.8484 0.6968